Entry from Alexandria: an optimized crystal structure of TlTc2As (GGA-PBE).

Output
calculated formation energy	0.558	eV per atom
magnetic moment	0.00	μB/cell
space group	No. 225

Cell lengths 4.537, 4.537, 4.537 Å; angles 60.00, 60.00, 60.00 degrees
Element x y z (fractional)
Tl 0.500 0.500 0.500
Tc 0.750 0.750 0.750
Tc 0.250 0.250 0.250
As 0.000 0.000 0.000